This record from Alexandria describes CdCoPt after structural relaxation. The functional is GGA-PBE.

a = 2.899 Å, b = 2.899 Å, c = 23.258 Å
α = 90.00°, β = 90.00°, γ = 90.00°
Space group I4/mmm (No. 139)
Asymmetric unit:
Cd 0.000 0.000 0.062
Co 0.000 0.000 0.223
Pt 0.000 0.000 0.350

Values from the calculation:
* crystal system: tetragonal
* distance to the lowest polymorph of the same formula: 0.0 meV/atom
* volume: 195.5 Å³ per cell
* total magnetic moment: 2.117 μB per formula unit
* energy of formation: -58 meV/atom